Below is a relaxed Pr12Dy2Y5 crystal, with properties calculated at the PBE level.

Cell and atoms, written as POSCAR:
```
Pr12Dy2Y5
1.0
-2.4755 6.2780 2.4782
-6.9826 -0.6186 -5.4080
-1.0437 -7.9751 8.7334
Pr Dy Y
12 2 5
Cartesian
-9.4608 -0.9104 3.2835 Pr
-7.0785 -0.8413 0.3282 Pr
-8.3035 2.2652 1.5545 Pr
-3.8039 0.3473 0.6645 Pr
-5.0107 3.4078 1.8726 Pr
-6.3133 2.2443 -1.5643 Pr
-4.1885 -4.5599 7.3678 Pr
-6.6979 -2.6630 5.1390 Pr
-5.4911 -5.7235 3.9309 Pr
-3.4233 -1.4743 5.4753 Pr
-2.1983 -4.5809 4.2490 Pr
-1.0411 -1.4053 2.5201 Pr
-1.8373 4.6596 1.8393 Dy
-0.6382 1.6184 0.6389 Dy
-5.9376 0.3948 3.4963 Y
-2.6039 1.6289 3.7000 Y
-3.4913 -0.3093 -2.7040 Y
-7.8979 -3.9446 2.1035 Y
-4.5642 -2.7105 2.3073 Y
```

Calculated values
ΔE_f: 2.5 eV per formula unit
E_tot: -5.074 eV per atom
excess energy over the best structure of this formula in the dataset: 0.0 meV per atom
DOS(E_F): 1.4500 states/eV/atom